(1)
# AgTePbO PBE relaxed
# energy above the lowest structure with this stoichiometry: 0.082 eV per atom
# V: 23.31 Å³ per atom
# crystal system: orthorhombic
data_AgTePbO
_chemical_formula_sum 'Ag4 Te4 Pb4 O4'
_cell_length_a 7.530
_cell_length_b 8.520
_cell_length_c 5.813
_cell_angle_alpha 90.00
_cell_angle_beta 90.00
_cell_angle_gamma 90.00
_symmetry_space_group_name_H-M 'P c a 21'
_symmetry_Int_Tables_number 29
loop_
_symmetry_equiv_pos_as_xyz
'x,y,z'
'-x,-y,z+1/2'
'-x+1/2,y,z+1/2'
'x+1/2,-y,z'
loop_
_atom_site_label
_atom_site_fract_x
_atom_site_fract_y
_atom_site_fract_z
Ag1 0.239 0.229 0.000
Te1 0.017 0.939 0.804
Pb1 0.117 0.626 0.268
O1 0.143 0.485 0.936



(2)
# AgTePbO PBE relaxed
# energy above the lowest structure with this stoichiometry: 0.174 eV per atom
# V: 21.72 Å³ per atom
# crystal system: orthorhombic
data_AgTePbO
_chemical_formula_sum 'Ag4 Te4 Pb4 O4'
_cell_length_a 3.607
_cell_length_b 16.024
_cell_length_c 6.013
_cell_angle_alpha 90.00
_cell_angle_beta 90.00
_cell_angle_gamma 90.00
_symmetry_space_group_name_H-M 'C m c m'
_symmetry_Int_Tables_number 63
_symmetry_space_group_name_Hall '-C 2c 2'
loop_
_atom_site_label
_atom_site_fract_x
_atom_site_fract_y
_atom_site_fract_z
Ag1 0.000 0.117 0.250
Te1 0.000 0.252 0.750
Pb1 0.000 0.437 0.250
O1 0.000 0.000 0.000



(3)
# AgTePbO PBE relaxed
# energy above the lowest structure with this stoichiometry: 0.093 eV per atom
# V: 24.43 Å³ per atom
# crystal system: hexagonal
data_AgTePbO
_chemical_formula_sum 'Ag2 Te2 Pb2 O2'
_cell_length_a 3.8393
_cell_length_b 3.8393
_cell_length_c 15.3072
_cell_angle_alpha 90.00
_cell_angle_beta 90.00
_cell_angle_gamma 120.00
_symmetry_space_group_name_H-M 'P 63 m c'
_symmetry_Int_Tables_number 186
_symmetry_space_group_name_Hall 'P 6c -2c'
loop_
_atom_site_label
_atom_site_fract_x
_atom_site_fract_y
_atom_site_fract_z
Ag1 0.0000 0.0000 0.0000
Te1 0.3333 0.6667 0.1103
Pb1 0.3333 0.6667 0.7990
O1 0.0000 0.0000 0.3557



(4)
# AgTePbO PBE relaxed
# energy above the lowest structure with this stoichiometry: 0.217 eV per atom
# V: 24.55 Å³ per atom
# crystal system: orthorhombic
data_AgTePbO
_chemical_formula_sum 'Ag4 Te4 Pb4 O4'
_cell_length_a 6.559
_cell_length_b 4.124
_cell_length_c 14.523
_cell_angle_alpha 90.00
_cell_angle_beta 90.00
_cell_angle_gamma 90.00
_symmetry_space_group_name_H-M 'P n m a'
_symmetry_Int_Tables_number 62
loop_
_symmetry_equiv_pos_as_xyz
'x,y,z'
'-x,-y,-z'
'-x+1/2,-y,z+1/2'
'x+1/2,y,-z+1/2'
'x+1/2,-y+1/2,-z+1/2'
'-x+1/2,y+1/2,z+1/2'
'-x,y+1/2,-z'
'x,-y+1/2,z'
loop_
_atom_site_label
_atom_site_fract_x
_atom_site_fract_y
_atom_site_fract_z
Ag1 0.182 0.250 0.102
Te1 0.225 0.750 0.958
Pb1 0.096 0.750 0.327
O1 0.249 0.250 0.690



(5)
# AgTePbO PBE relaxed
# energy above the lowest structure with this stoichiometry: 0.186 eV per atom
# V: 22.59 Å³ per atom
# crystal system: orthorhombic
data_AgTePbO
_chemical_formula_sum 'Ag4 Te4 Pb4 O4'
_cell_length_a 6.428
_cell_length_b 7.181
_cell_length_c 7.830
_cell_angle_alpha 90.00
_cell_angle_beta 90.00
_cell_angle_gamma 90.00
_symmetry_space_group_name_H-M 'P 21 21 21'
_symmetry_Int_Tables_number 19
loop_
_symmetry_equiv_pos_as_xyz
'x,y,z'
'-x+1/2,-y,z+1/2'
'x+1/2,-y+1/2,-z'
'-x,y+1/2,-z+1/2'
loop_
_atom_site_label
_atom_site_fract_x
_atom_site_fract_y
_atom_site_fract_z
Ag1 0.185 0.063 0.331
Te1 0.050 0.212 0.656
Pb1 0.202 0.590 0.465
O1 0.033 0.309 0.135



(6)
# AgTePbO PBE relaxed
# energy above the lowest structure with this stoichiometry: 0.293 eV per atom
# V: 21.29 Å³ per atom
# crystal system: orthorhombic
data_AgTePbO
_chemical_formula_sum 'Ag4 Te4 Pb4 O4'
_cell_length_a 3.418
_cell_length_b 16.108
_cell_length_c 6.188
_cell_angle_alpha 90.00
_cell_angle_beta 90.00
_cell_angle_gamma 90.00
_symmetry_space_group_name_H-M 'C m c m'
_symmetry_Int_Tables_number 63
_symmetry_space_group_name_Hall '-C 2c 2'
loop_
_atom_site_label
_atom_site_fract_x
_atom_site_fract_y
_atom_site_fract_z
Ag1 0.000 0.069 0.250
Te1 0.000 0.293 0.750
Pb1 0.000 0.394 0.250
O1 0.000 0.500 0.000



(7)
# TlAg3PbO4 PBE relaxed
# energy: -3.9721 eV/atom
# V: 17.96 Å³ per atom
# crystal system: cubic
data_TlAg3PbO4
_chemical_formula_sum 'Tl1 Ag3 Pb1 O4'
_cell_length_a 5.447
_cell_length_b 5.447
_cell_length_c 5.447
_cell_angle_alpha 90.00
_cell_angle_beta 90.00
_cell_angle_gamma 90.00
_symmetry_space_group_name_H-M 'P -4 3 m'
_symmetry_Int_Tables_number 215
_symmetry_space_group_name_Hall 'P -4 2 3'
loop_
_atom_site_label
_atom_site_fract_x
_atom_site_fract_y
_atom_site_fract_z
Tl1 0.000 0.000 0.000
Ag1 0.000 0.500 0.500
Pb1 0.500 0.500 0.500
O1 0.237 0.237 0.237



(8)
# TmAg3Pb4O12 PBE relaxed
# energy: -5.2201 eV/atom
# V: 13.59 Å³ per atom
# crystal system: cubic
data_TmAg3Pb4O12
_chemical_formula_sum 'Tm2 Ag6 Pb8 O24'
_cell_length_a 8.162
_cell_length_b 8.162
_cell_length_c 8.162
_cell_angle_alpha 90.00
_cell_angle_beta 90.00
_cell_angle_gamma 90.00
_symmetry_space_group_name_H-M 'I m -3'
_symmetry_Int_Tables_number 204
_symmetry_space_group_name_Hall '-I 2 2 3'
loop_
_atom_site_label
_atom_site_fract_x
_atom_site_fract_y
_atom_site_fract_z
Tm1 0.000 0.000 0.000
Ag1 0.000 0.000 0.500
Pb1 0.250 0.250 0.250
O1 0.000 0.163 0.284